Density functional theory data (PBE) for a relaxed TbDyLuAg crystal.

The magnetic moment comes out at 0.01 μB/f.u. The calculated volume comes out at 26.9 Å³/atom. The calculation puts the calculated formation energy at 0.0393 eV/atom. As for the symmetry: F-43m, No. 216.

Structure (POSCAR):
```
TbDyLuAg
1.0
5.342 0.000 0.000
2.671 4.626 0.000
2.671 1.542 4.362
Lu Tb Ag Dy
1 1 1 1
Direct
0.750 0.750 0.750 Lu
0.000 0.000 0.000 Tb
0.250 0.250 0.250 Ag
0.500 0.500 0.500 Dy
```